First-principles (PBE) data for a geometry-optimized Nd4TcPb structure, as listed in Alexandria via LeMat-Bulk.

Unit cell a=8.2218 b=8.2218 c=6.3962 alpha=100.36 beta=100.36 gamma=114.00
Element x y z (fractional)
Nd 0.0584 0.7225 0.9472
Nd 0.2063 0.3537 0.6216
Nd 0.2775 0.9416 0.5528
Nd 0.3537 0.2063 0.1216
Nd 0.6463 0.7937 0.8784
Nd 0.7225 0.0584 0.4472
Nd 0.7937 0.6463 0.3784
Nd 0.9416 0.2775 0.0528
Tc 0.0011 0.9989 0.2500
Tc 0.9989 0.0011 0.7500
Pb 0.3745 0.6255 0.2500
Pb 0.6255 0.3745 0.7500

Values from the calculation:
total magnetization = 0.000 μB/cell
DFT formation energy = -0.22 eV/atom



First-principles (PBE) data for a geometry-optimized Nd8TcPb2 structure, as listed in Alexandria via LeMat-Bulk.

Unit cell a=9.7723 b=9.7723 c=7.0892 alpha=109.85 beta=109.85 gamma=32.79
Element x y z (fractional)
Nd 0.0062 0.0062 0.2356
Nd 0.2076 0.2076 0.1272
Nd 0.3573 0.3573 0.6634
Nd 0.4092 0.4092 0.2436
Nd 0.5908 0.5908 0.7564
Nd 0.6427 0.6427 0.3366
Nd 0.7924 0.7924 0.8728
Nd 0.9938 0.9938 0.7644
Tc 0.5000 0.5000 0.0000
Pb 0.1728 0.1728 0.6340
Pb 0.8272 0.8272 0.3660

Values from the calculation:
total magnetization = 0.001 μB/cell
DFT formation energy = -0.18 eV/atom



First-principles (PBE) data for a geometry-optimized Nd3TcPb structure, as listed in Alexandria via LeMat-Bulk.

Unit cell a=5.4066 b=5.4066 c=5.4066 alpha=90.00 beta=90.00 gamma=90.00
Element x y z (fractional)
Nd 0.0000 0.0000 0.5000
Nd 0.0000 0.5000 0.0000
Nd 0.5000 0.0000 0.0000
Tc 0.0000 0.0000 0.0000
Pb 0.5000 0.5000 0.5000

Values from the calculation:
total magnetization = 0.000 μB/cell
DFT formation energy = -0.03 eV/atom



First-principles (PBE) data for a geometry-optimized Nd3Te6Pb structure, as listed in Alexandria via LeMat-Bulk.

Unit cell a=9.8387 b=9.8387 c=7.7451 alpha=90.00 beta=90.00 gamma=103.55
Element x y z (fractional)
Nd 0.0918 0.9082 0.5000
Nd 0.2202 0.4129 0.3941
Nd 0.4129 0.2202 0.8941
Nd 0.5871 0.7798 0.3941
Nd 0.7798 0.5871 0.8941
Nd 0.9082 0.0918 0.0000
Te 0.0433 0.5878 0.6413
Te 0.1257 0.2010 0.7004
Te 0.2010 0.1257 0.2004
Te 0.2712 0.7288 0.2676
Te 0.4122 0.9567 0.6413
Te 0.4787 0.5213 0.6718
Te 0.5213 0.4787 0.1718
Te 0.5878 0.0433 0.1413
Te 0.7288 0.2712 0.7676
Te 0.7990 0.8743 0.7004
Te 0.8743 0.7990 0.2004
Te 0.9567 0.4122 0.1413
Pb 0.3016 0.6984 0.8613
Pb 0.6984 0.3016 0.3613

Values from the calculation:
total magnetization = 0.000 μB/cell
formation energy (no corrections) = -10.9 eV/f.u.



First-principles (PBE) data for a geometry-optimized Nd2TePb structure, as listed in Alexandria via LeMat-Bulk.

Unit cell a=6.4182 b=6.4180 c=12.8785 alpha=90.00 beta=90.00 gamma=90.00
Element x y z (fractional)
Nd 0.0000 0.2504 0.1243
Nd 0.0000 0.2496 0.6257
Nd 0.0000 0.7504 0.3743
Nd 0.0000 0.7496 0.8757
Nd 0.5000 0.2504 0.3757
Nd 0.5000 0.2496 0.8743
Nd 0.5000 0.7504 0.1257
Nd 0.5000 0.7496 0.6243
Te 0.0000 0.2504 0.3750
Te 0.0000 0.7496 0.6250
Te 0.5000 0.2504 0.1250
Te 0.5000 0.7496 0.8750
Pb 0.0000 0.2496 0.8750
Pb 0.0000 0.7504 0.1250
Pb 0.5000 0.2496 0.6250
Pb 0.5000 0.7504 0.3750

Values from the calculation:
excess energy over the best structure of this formula in the dataset = 0 meV/atom
total magnetization = 0.000 μB/cell
formation energy (no corrections) = -4.2 eV/f.u.



First-principles (PBE) data for a geometry-optimized Nd2TePb structure, as listed in Alexandria via LeMat-Bulk.

Unit cell a=4.5446 b=4.5446 c=6.4137 alpha=90.00 beta=90.00 gamma=90.00
Element x y z (fractional)
Nd 0.0000 0.0000 0.0000
Nd 0.5000 0.5000 0.5000
Te 0.0000 0.0000 0.5000
Pb 0.5000 0.5000 0.0000

Values from the calculation:
excess energy over the best structure of this formula in the dataset = 8 meV/atom
total magnetization = 0.000 μB/cell
formation energy (no corrections) = -4.2 eV/f.u.



First-principles (PBE) data for a geometry-optimized Nd10Te3Pb3 structure, as listed in Alexandria via LeMat-Bulk.

Unit cell a=9.4190 b=9.4190 c=6.5494 alpha=90.00 beta=90.00 gamma=120.00
Element x y z (fractional)
Nd 0.0000 0.2474 0.0000
Nd 0.0000 0.7520 0.5000
Nd 0.2474 0.0000 0.0000
Nd 0.2480 0.2480 0.5000
Nd 0.3333 0.6667 0.2510
Nd 0.3333 0.6667 0.7490
Nd 0.6667 0.3333 0.2510
Nd 0.6667 0.3333 0.7490
Nd 0.7520 0.0000 0.5000
Nd 0.7526 0.7526 0.0000
Te 0.0000 0.3838 0.5000
Te 0.3838 0.0000 0.5000
Te 0.6162 0.6162 0.5000
Pb 0.0000 0.6110 0.0000
Pb 0.3890 0.3890 0.0000
Pb 0.6110 0.0000 0.0000

Values from the calculation:
total magnetization = 0.614 μB/cell
formation energy (no corrections) = -13.1 eV/f.u.



First-principles (PBE) data for a geometry-optimized Nd2TePb structure, as listed in Alexandria via LeMat-Bulk.

Unit cell a=7.8979 b=7.8979 c=7.8979 alpha=33.46 beta=33.46 gamma=33.46
Element x y z (fractional)
Nd 0.2480 0.2480 0.2480
Nd 0.7520 0.7520 0.7520
Te 0.0000 0.0000 0.0000
Pb 0.5000 0.5000 0.5000

Values from the calculation:
excess energy over the best structure of this formula in the dataset = 25 meV/atom
total magnetization = 0.000 μB/cell
formation energy (no corrections) = -4.1 eV/f.u.



First-principles (PBE) data for a geometry-optimized Nd4TePb structure, as listed in Alexandria via LeMat-Bulk.

Unit cell a=9.2452 b=9.2452 c=7.7613 alpha=103.86 beta=103.86 gamma=41.53
Element x y z (fractional)
Nd 0.0159 0.8265 0.5471
Nd 0.1735 0.9841 0.9529
Nd 0.2610 0.4515 0.8685
Nd 0.4515 0.2610 0.3685
Nd 0.5485 0.7390 0.6315
Nd 0.7390 0.5485 0.1315
Nd 0.8265 0.0159 0.0471
Nd 0.9841 0.1735 0.4529
Te 0.0000 0.5000 0.5000
Te 0.5000 0.0000 0.0000
Pb 0.3548 0.6452 0.2500
Pb 0.6452 0.3548 0.7500

Values from the calculation:
total magnetization = 0.000 μB/cell
formation energy (no corrections) = -2.8 eV/f.u.



First-principles (PBE) data for a geometry-optimized Nd3Te12Pb5 structure, as listed in Alexandria via LeMat-Bulk.

Unit cell a=15.9723 b=15.9723 c=15.9723 alpha=109.47 beta=109.47 gamma=109.47
Element x y z (fractional)
Nd 0.1250 0.2500 0.3750
Nd 0.1250 0.3750 0.7500
Nd 0.2500 0.3750 0.1250
Nd 0.2500 0.8750 0.6250
Nd 0.3750 0.1250 0.2500
Nd 0.3750 0.7500 0.1250
Nd 0.6250 0.2500 0.8750
Nd 0.6250 0.8750 0.7500
Nd 0.7500 0.1250 0.3750
Nd 0.7500 0.6250 0.8750
Nd 0.8750 0.6250 0.2500
Nd 0.8750 0.7500 0.6250
Te 0.0575 0.2270 0.1412
Te 0.0575 0.3305 0.9163
Te 0.0837 0.6412 0.4142
Te 0.0837 0.9425 0.6695
Te 0.0858 0.7270 0.6695
Te 0.0858 0.8588 0.4163
Te 0.1412 0.0575 0.2270
Te 0.1412 0.5837 0.9142
Te 0.1695 0.2270 0.5858
Te 0.1695 0.4425 0.5837
Te 0.2270 0.1412 0.0575
Te 0.2270 0.5858 0.1695
Te 0.2730 0.3305 0.9142
Te 0.2730 0.4425 0.3588
Te 0.3305 0.9142 0.2730
Te 0.3305 0.9163 0.0575
Te 0.3588 0.2730 0.4425
Te 0.3588 0.5858 0.9163
Te 0.4142 0.0837 0.6412
Te 0.4142 0.8305 0.7730
Te 0.4163 0.0858 0.8588
Te 0.4163 0.8305 0.5575
Te 0.4425 0.3588 0.2730
Te 0.4425 0.5837 0.1695
Te 0.5575 0.4163 0.8305
Te 0.5575 0.6412 0.7270
Te 0.5837 0.1695 0.4425
Te 0.5837 0.9142 0.1412
Te 0.5858 0.1695 0.2270
Te 0.5858 0.9163 0.3588
Te 0.6412 0.4142 0.0837
Te 0.6412 0.7270 0.5575
Te 0.6695 0.0837 0.9425
Te 0.6695 0.0858 0.7270
Te 0.7270 0.5575 0.6412
Te 0.7270 0.6695 0.0858
Te 0.7730 0.4142 0.8305
Te 0.7730 0.8588 0.9425
Te 0.8305 0.5575 0.4163
Te 0.8305 0.7730 0.4142
Te 0.8588 0.4163 0.0858
Te 0.8588 0.9425 0.7730
Te 0.9142 0.1412 0.5837
Te 0.9142 0.2730 0.3305
Te 0.9163 0.0575 0.3305
Te 0.9163 0.3588 0.5858
Te 0.9425 0.6695 0.0837
Te 0.9425 0.7730 0.8588
Pb 0.0000 0.0000 0.0000
Pb 0.0000 0.0000 0.5000
Pb 0.0000 0.5000 0.0000
Pb 0.0000 0.5000 0.5000
Pb 0.1250 0.7500 0.8750
Pb 0.1250 0.8750 0.2500
Pb 0.2500 0.1250 0.8750
Pb 0.2500 0.6250 0.3750
Pb 0.3750 0.2500 0.6250
Pb 0.3750 0.6250 0.7500
Pb 0.5000 0.0000 0.0000
Pb 0.5000 0.0000 0.5000
Pb 0.5000 0.5000 0.0000
Pb 0.5000 0.5000 0.5000
Pb 0.6250 0.3750 0.2500
Pb 0.6250 0.7500 0.3750
Pb 0.7500 0.3750 0.6250
Pb 0.7500 0.8750 0.1250
Pb 0.8750 0.1250 0.7500
Pb 0.8750 0.2500 0.1250

Values from the calculation:
total magnetization = 0.000 μB/cell
formation energy (no corrections) = -11.2 eV/f.u.



First-principles (PBE) data for a geometry-optimized Nd6Te3Pb structure, as listed in Alexandria via LeMat-Bulk.

Unit cell a=12.5651 b=4.3273 c=13.0014 alpha=90.00 beta=105.53 gamma=90.00
Element x y z (fractional)
Nd 0.0113 0.2500 0.3569
Nd 0.0905 0.2500 0.8984
Nd 0.2510 0.7500 0.2924
Nd 0.2936 0.7500 0.7576
Nd 0.3801 0.2500 0.5399
Nd 0.4349 0.7500 0.1158
Nd 0.5651 0.2500 0.8842
Nd 0.6199 0.7500 0.4601
Nd 0.7064 0.2500 0.2424
Nd 0.7490 0.2500 0.7076
Nd 0.9095 0.7500 0.1016
Nd 0.9887 0.7500 0.6431
Te 0.0992 0.2500 0.1457
Te 0.1733 0.7500 0.5066
Te 0.3438 0.2500 0.9397
Te 0.6562 0.7500 0.0603
Te 0.8267 0.2500 0.4934
Te 0.9008 0.7500 0.8543
Pb 0.4555 0.2500 0.3105
Pb 0.5445 0.7500 0.6895

Values from the calculation:
total magnetization = 1.119 μB/cell
formation energy (no corrections) = -9.1 eV/f.u.



First-principles (PBE) data for a geometry-optimized Nd5Te5Pb structure, as listed in Alexandria via LeMat-Bulk.

Unit cell a=7.8028 b=7.8028 c=8.9991 alpha=106.65 beta=106.65 gamma=48.28
Element x y z (fractional)
Nd 0.0000 0.0000 0.0000
Nd 0.3354 0.3354 0.6663
Nd 0.3361 0.3361 0.1711
Nd 0.6639 0.6639 0.8289
Nd 0.6646 0.6646 0.3337
Te 0.1644 0.1644 0.3366
Te 0.1665 0.1665 0.8312
Te 0.5000 0.5000 0.5000
Te 0.8335 0.8335 0.1688
Te 0.8356 0.8356 0.6634
Pb 0.5000 0.5000 0.0000

Values from the calculation:
total magnetization = 0.000 μB/cell
formation energy (no corrections) = -14.5 eV/f.u.